Entry 1:
Material: CaDy3Tl3
Method: DFT, PBE-GGA
State: optimized geometry

POSCAR file:
```
CaDy3Tl3
1.0
9.540 0.000 0.000
-4.770 8.262 0.000
0.000 0.000 5.236
Ca Dy Tl
2 6 6
Cartesian
0.000 5.508 1.309
4.770 2.754 3.927
-3.621 6.367 3.927
1.067 1.942 3.927
2.216 0.047 1.309
2.555 8.215 3.927
3.703 6.320 1.309
8.392 1.895 1.309
-1.493 3.704 3.927
-0.815 7.703 3.927
2.461 3.146 1.309
2.309 5.117 3.927
5.586 0.559 1.309
6.264 4.558 1.309
```

ΔE_f = -236 meV per atom
SG = P6_3/m (176)
crystal system = hexagonal

Entry 2:
Material: Er4InAgHg2
Method: DFT, PBE-GGA
State: optimized geometry

POSCAR file:
```
Er4InAgHg2
1.0
2.601 1.502 8.516
-2.601 1.502 8.516
0.000 -3.004 8.516
Er In Ag Hg
4 1 1 2
Cartesian
0.000 0.000 3.123
0.000 0.000 9.521
0.000 0.000 16.027
0.000 0.000 22.425
0.000 0.000 12.774
0.000 0.000 0.000
0.000 0.000 6.388
0.000 0.000 19.160
```

ΔE_f = -427 meV per atom
SG = R-3m (166)
crystal system = trigonal

Entry 3:
Material: ZrCdSe2
Method: DFT, PBE-GGA
State: optimized geometry

POSCAR file:
```
ZrCdSe2
1.0
7.548 0.000 0.000
0.000 7.548 0.000
0.000 0.000 10.608
Zr Cd Se
4 4 8
Cartesian
0.000 0.000 0.000
0.000 3.774 2.652
3.774 0.000 7.956
3.774 3.774 5.304
0.000 0.000 5.304
0.000 3.774 7.956
3.774 0.000 2.652
3.774 3.774 0.000
1.091 1.887 1.326
1.887 4.865 3.978
1.887 6.458 9.282
2.683 1.887 6.630
4.865 5.661 6.630
5.661 1.091 9.282
5.661 2.683 3.978
6.458 5.661 1.326
```

raw formation energy = -0.56 eV per atom
SG = I-42d (122)
crystal system = tetragonal

Entry 4:
Material: Tb2NdDy7
Method: DFT, PBE-GGA
State: optimized geometry

POSCAR file:
```
Tb2NdDy7
1.0
6.153 0.000 0.000
2.043 6.819 0.000
2.046 1.247 7.581
Tb Nd Dy
2 1 7
Cartesian
2.049 2.164 0.753
8.193 5.902 6.827
2.044 4.033 3.790
1.023 0.624 3.790
3.069 5.584 0.754
5.122 4.967 5.313
4.103 1.549 5.312
6.139 6.517 2.269
5.120 3.099 2.267
7.173 2.482 6.826
```

energy above the lowest structure with this stoichiometry = 0.0000 eV per atom
ΔE_f = 14 meV per atom
SG = P-1 (2)
crystal system = triclinic

Entry 5:
Material: LiBe4P
Method: DFT, PBE-GGA
State: optimized geometry

POSCAR file:
```
LiBe4P
1.0
0.000 3.109 3.109
3.109 0.000 3.109
3.109 3.109 0.000
Li Be P
1 4 1
Cartesian
0.000 0.000 0.000
2.327 2.327 2.327
3.891 3.891 2.327
3.891 2.327 3.891
2.327 3.891 3.891
4.663 4.663 4.663
```

ΔE_f = 208 meV per atom
SG = F-43m (216)
crystal system = cubic

Entry 6:
Material: Sr2CaDy
Method: DFT, PBE-GGA
State: optimized geometry

POSCAR file:
```
Sr2CaDy
1.0
3.934 0.000 0.000
0.000 3.934 0.000
0.000 0.000 11.392
Sr Ca Dy
2 1 1
Cartesian
0.000 0.000 2.688
0.000 0.000 8.705
1.967 1.967 5.696
1.967 1.967 0.000
```

energy above the lowest structure with this stoichiometry = 0.0000 eV per atom
ΔE_f = 153 meV per atom
SG = P4/mmm (123)
crystal system = tetragonal

Number 1: density of states at the Fermi level 7.3 states/eV/cell, VASP energy -49.1 eV for the cell shown, M_tot 0.00 μB/cell. Number 2: density of states at the Fermi level 6.1 states/eV/cell, VASP energy -27.9 eV for the cell shown, M_tot 0.00 μB/cell. Number 3: density of states at the Fermi level 0.0 states/eV/cell, VASP energy -74.7 eV for the cell shown, M_tot 0.00 μB/cell. Number 4: density of states at the Fermi level 12.0 states/eV/cell, VASP energy -46.1 eV for the cell shown, M_tot 0.00 μB/cell. Number 5: density of states at the Fermi level 1.9 states/eV/cell, VASP energy -21.0 eV for the cell shown, M_tot 0.00 μB/cell. Number 6: density of states at the Fermi level 6.1 states/eV/cell, VASP energy -9.4 eV for the cell shown, M_tot 1.08 μB/cell.